# 1
A relaxed structure of InCoP, computed with PBE.

a = 3.169 Å, b = 3.169 Å, c = 5.699 Å
α = 90.00°, β = 90.00°, γ = 120.00°
Sites, in units of the cell vectors:
In  0.000  0.000  0.000
Co  0.333  0.667  0.634
P  0.667  0.333  0.427

**Raw total energy**: -15.43 eV/cell
**Space group**: P3m1, No. 156
**Formation energy from the elements**: -0.060 eV per atom


# 2
A relaxed structure of InCo2P, computed with PBE.

a = 4.362 Å, b = 4.362 Å, c = 4.362 Å
α = 60.00°, β = 60.00°, γ = 60.00°
Sites, in units of the cell vectors:
In  0.000  0.000  0.000
Co  0.500  0.500  0.500
Co  0.750  0.750  0.750
P  0.250  0.250  0.250

**Raw total energy**: -20.32 eV/cell
**Space group**: F-43m, No. 216
**Formation energy from the elements**: 0.510 eV per atom